No. 1
Material: In2CuSnPb
Method: DFT, PBE
State: optimized geometry

Cell lengths 5.173, 5.173, 5.162 Å; angles 90.00, 90.00, 90.00 degrees
Space group P4/mmm (No. 123)
Symmetry-distinct sites (fractional):
1 In 0.000 0.500 0.000
2 Cu 0.000 0.000 0.000
3 Sn 0.000 0.000 0.500
4 Pb 0.500 0.500 0.500

The energy of formation from the pure elements comes out at 0.172 eV per atom.



No. 2
Material: Tl3Bi
Method: DFT, PBE
State: optimized geometry

Cell lengths 3.5299, 3.5299, 11.6974 Å; angles 90.00, 90.00, 120.00 degrees
Space group P-6m2 (No. 187)
Symmetry-distinct sites (fractional):
1 Tl 0.0000 0.0000 0.0000
2 Tl 0.6667 0.3333 0.2537
3 Bi 0.0000 0.0000 0.5000

The energy of formation from the pure elements comes out at 0.015 eV per atom. Its energy above the most stable polymorph in this dataset is 50 meV/atom.



No. 3
Material: Ta2CuTcH
Method: DFT, PBE
State: optimized geometry

Cell lengths 4.879, 4.879, 3.053 Å; angles 90.00, 90.00, 90.00 degrees
Space group P4/mmm (No. 123)
Symmetry-distinct sites (fractional):
1 Ta 0.000 0.500 0.000
2 Cu 0.000 0.000 0.000
3 Tc 0.500 0.500 0.500
4 H 0.000 0.000 0.500

Its energy above the most stable polymorph in this dataset is 791 meV/atom.



No. 4
Material: Nd4GaPb
Method: DFT, PBE
State: optimized geometry

Cell lengths 5.238, 5.238, 7.433 Å; angles 90.00, 90.00, 90.00 degrees
Space group P4/mmm (No. 123)
Symmetry-distinct sites (fractional):
1 Nd 0.000 0.500 0.230
2 Ga 0.000 0.000 0.000
3 Pb 0.500 0.500 0.500

The energy of formation from the pure elements comes out at -0.258 eV per atom. Its energy above the most stable polymorph in this dataset is 92 meV/atom.



E_tot across the listed records, respectively: -16.42 -10.92 -37.70 -27.35 eV for the cell shown.